Entry 1:
TbNd6Sm2Er3 | PBE | relaxed

Cell: 6.285 6.285 11.899 Å, 95.03 95.03 120.00°
Atoms (fractional coordinates):
Tb (0.000, 0.000, 0.000)
Nd (0.084, 0.417, 0.253)
Nd (0.249, 0.249, 0.747)
Nd (0.417, 0.084, 0.253)
Nd (0.583, 0.916, 0.747)
Nd (0.751, 0.751, 0.253)
Nd (0.916, 0.583, 0.747)
Sm (0.333, 0.667, 0.000)
Sm (0.667, 0.333, 0.000)
Er (0.167, 0.833, 0.500)
Er (0.500, 0.500, 0.500)
Er (0.833, 0.167, 0.500)

Properties
As for the symmetry: No. 12. As for the total magnetic moment: 0.0 μB/f.u. As for the formation energy: 0.01 eV/atom.

Entry 2:
Mn3NbIn | PBE | relaxed

Cell: 4.853 4.853 4.853 Å, 90.00 90.00 90.00°
Atoms (fractional coordinates):
Mn (0.000, 0.000, 0.500)
Mn (0.000, 0.500, 0.000)
Mn (0.500, 0.000, 0.000)
Nb (0.500, 0.500, 0.500)
In (0.000, 0.000, 0.000)

Properties
The value obtained for the energy above the most stable polymorph in this dataset is 356 meV/atom. As for the symmetry: No. 221. As for the total magnetic moment: 8.7 μB/f.u. As for the formation energy: 1.52 eV/atom.

Entry 3:
MgZnSb3 | PBE | relaxed

Cell: 5.257 5.257 5.257 Å, 90.00 90.00 90.00°
Atoms (fractional coordinates):
Mg (0.000, 0.000, 0.000)
Zn (0.500, 0.500, 0.500)
Sb (0.000, 0.500, 0.500)
Sb (0.500, 0.000, 0.500)
Sb (0.500, 0.500, 0.000)

Properties
The value obtained for the energy above the most stable polymorph in this dataset is 0 meV/atom. As for the symmetry: No. 221. As for the total magnetic moment: 0.0 μB/f.u. The formation energy (no corrections) comes out at 468.4 meV/atom.

Entry 4:
NbIn2Cu2 | PBE | relaxed

Cell: 7.520 7.520 3.048 Å, 90.00 90.00 90.00°
Atoms (fractional coordinates):
Nb (0.000, 0.000, 0.000)
Nb (0.500, 0.500, 0.000)
In (0.180, 0.320, 0.500)
In (0.320, 0.820, 0.500)
In (0.680, 0.180, 0.500)
In (0.820, 0.680, 0.500)
Cu (0.118, 0.618, 0.000)
Cu (0.382, 0.118, 0.000)
Cu (0.618, 0.882, 0.000)
Cu (0.882, 0.382, 0.000)

Properties
As for the symmetry: No. 127. As for the total magnetic moment: 0.0 μB/f.u. As for the formation energy: 0.14 eV/atom.

Entry 5:
Mn3Nb5Al12 | PBE | relaxed

Cell: 13.112 13.112 13.112 Å, 109.47 109.47 109.47°
Atoms (fractional coordinates):
Mn (0.125, 0.250, 0.375)
Mn (0.125, 0.375, 0.750)
Mn (0.250, 0.375, 0.125)
Mn (0.250, 0.875, 0.625)
Mn (0.375, 0.125, 0.250)
Mn (0.375, 0.750, 0.125)
Mn (0.625, 0.250, 0.875)
Mn (0.625, 0.875, 0.750)
Mn (0.750, 0.125, 0.375)
Mn (0.750, 0.625, 0.875)
Mn (0.875, 0.625, 0.250)
Mn (0.875, 0.750, 0.625)
Nb (0.000, 0.000, 0.000)
Nb (0.000, 0.000, 0.500)
Nb (0.000, 0.500, 0.000)
Nb (0.000, 0.500, 0.500)
Nb (0.125, 0.750, 0.875)
Nb (0.125, 0.875, 0.250)
Nb (0.250, 0.125, 0.875)
Nb (0.250, 0.625, 0.375)
Nb (0.375, 0.250, 0.625)
Nb (0.375, 0.625, 0.750)
Nb (0.500, 0.000, 0.000)
Nb (0.500, 0.000, 0.500)
Nb (0.500, 0.500, 0.000)
Nb (0.500, 0.500, 0.500)
Nb (0.625, 0.375, 0.250)
Nb (0.625, 0.750, 0.375)
Nb (0.750, 0.375, 0.625)
Nb (0.750, 0.875, 0.125)
Nb (0.875, 0.125, 0.750)
Nb (0.875, 0.250, 0.125)
Al (0.072, 0.651, 0.419)
Al (0.072, 0.921, 0.653)
Al (0.079, 0.232, 0.151)
Al (0.079, 0.347, 0.928)
Al (0.081, 0.732, 0.653)
Al (0.081, 0.849, 0.428)
Al (0.151, 0.079, 0.232)
Al (0.151, 0.572, 0.919)
Al (0.153, 0.232, 0.581)
Al (0.153, 0.421, 0.572)
Al (0.232, 0.151, 0.079)
Al (0.232, 0.581, 0.153)
Al (0.268, 0.347, 0.919)
Al (0.268, 0.421, 0.349)
Al (0.347, 0.919, 0.268)
Al (0.347, 0.928, 0.079)
Al (0.349, 0.268, 0.421)
Al (0.349, 0.581, 0.928)
Al (0.419, 0.072, 0.651)
Al (0.419, 0.847, 0.768)
Al (0.421, 0.349, 0.268)
Al (0.421, 0.572, 0.153)
Al (0.428, 0.081, 0.849)
Al (0.428, 0.847, 0.579)
Al (0.572, 0.153, 0.421)
Al (0.572, 0.919, 0.151)
Al (0.579, 0.428, 0.847)
Al (0.579, 0.651, 0.732)
Al (0.581, 0.153, 0.232)
Al (0.581, 0.928, 0.349)
Al (0.651, 0.419, 0.072)
Al (0.651, 0.732, 0.579)
Al (0.653, 0.072, 0.921)
Al (0.653, 0.081, 0.732)
Al (0.732, 0.579, 0.651)
Al (0.732, 0.653, 0.081)
Al (0.768, 0.419, 0.847)
Al (0.768, 0.849, 0.921)
Al (0.847, 0.579, 0.428)
Al (0.847, 0.768, 0.419)
Al (0.849, 0.428, 0.081)
Al (0.849, 0.921, 0.768)
Al (0.919, 0.151, 0.572)
Al (0.919, 0.268, 0.347)
Al (0.921, 0.653, 0.072)
Al (0.921, 0.768, 0.849)
Al (0.928, 0.079, 0.347)
Al (0.928, 0.349, 0.581)

Properties
As for the symmetry: No. 230. As for the total magnetic moment: 13.8 μB/f.u. As for the formation energy: 0.83 eV/atom.

Entry 6:
Y2Tc | PBE | relaxed

Cell: 11.683 3.457 8.026 Å, 90.00 113.74 90.00°
Atoms (fractional coordinates):
Y (0.001, 0.000, 0.205)
Y (0.185, 0.500, 0.641)
Y (0.315, 0.000, 0.359)
Y (0.499, 0.500, 0.795)
Y (0.501, 0.500, 0.205)
Y (0.685, 0.000, 0.641)
Y (0.815, 0.500, 0.359)
Y (0.999, 0.000, 0.795)
Tc (0.182, 0.500, 0.055)
Tc (0.318, 0.000, 0.945)
Tc (0.682, 0.000, 0.055)
Tc (0.818, 0.500, 0.945)

Properties
The value obtained for the energy above the most stable polymorph in this dataset is 55 meV/atom. As for the symmetry: No. 12. As for the total magnetic moment: 0.0 μB/f.u. As for the formation energy: 0.04 eV/atom.

Entry 7:
SrCaTb | PBE | relaxed

Cell: 3.884 3.884 16.561 Å, 90.00 90.00 90.00°
Atoms (fractional coordinates):
Sr (0.250, 0.250, 0.099)
Sr (0.750, 0.750, 0.901)
Ca (0.250, 0.250, 0.717)
Ca (0.750, 0.750, 0.283)
Tb (0.250, 0.250, 0.436)
Tb (0.750, 0.750, 0.564)

Properties
The value obtained for the energy above the most stable polymorph in this dataset is 0 meV/atom. As for the symmetry: No. 129. As for the total magnetic moment: 0.0 μB/f.u. As for the formation energy: 0.06 eV/atom.

Entry 8:
Dy6InPd5 | PBE | relaxed

Cell: 5.016 7.085 7.971 Å, 90.00 108.07 90.00°
Atoms (fractional coordinates):
Dy (0.000, 0.235, 0.000)
Dy (0.000, 0.765, 0.000)
Dy (0.327, 0.247, 0.656)
Dy (0.327, 0.753, 0.656)
Dy (0.673, 0.247, 0.344)
Dy (0.673, 0.753, 0.344)
In (0.500, 0.500, 0.000)
Pd (0.154, 0.500, 0.304)
Pd (0.170, 0.000, 0.336)
Pd (0.500, 0.000, 0.000)
Pd (0.830, 0.000, 0.664)
Pd (0.846, 0.500, 0.696)

Properties
As for the symmetry: No. 10. As for the total magnetic moment: 0.0 μB/f.u. As for the formation energy: -0.79 eV/atom.